Computed, not measured: a geometry-optimized ZrIn2F6 structure at the PBE-GGA level of DFT.

```
data_ZrIn2F6
_chemical_formula_sum 'Zr2 In4 F12'
_cell_length_a 7.305
_cell_length_b 7.920
_cell_length_c 6.842
_cell_angle_alpha 90.00
_cell_angle_beta 112.43
_cell_angle_gamma 90.00
_space_group_name_H-M_alt 'C 1 2/m 1'
_space_group_IT_number 12
loop_
_space_group_symop_operation_xyz
'x,y,z'
'-x,-y,-z'
'-x,y,-z'
'x,-y,z'
'x+1/2,y+1/2,z'
'-x+1/2,-y+1/2,-z'
'-x+1/2,y+1/2,-z'
'x+1/2,-y+1/2,z'
loop_
_atom_site_label
_atom_site_type_symbol
_atom_site_fract_x
_atom_site_fract_y
_atom_site_fract_z
Zr1 Zr 0.000 0.000 0.000
In1 In 0.133 0.500 0.329
F1 F 0.077 0.179 0.231
F2 F 0.213 0.500 0.992
```

=====

# ZrIn2F | Alexandria via LeMat-Bulk | PBE-GGA | relaxed
# energy above the lowest structure with this stoichiometry = 0.0 meV per atom
data_ZrIn2F
_chemical_formula_sum 'Zr4 In8 F4'
_cell_length_a 8.826
_cell_length_b 8.826
_cell_length_c 4.567
_cell_angle_alpha 90.00
_cell_angle_beta 90.00
_cell_angle_gamma 90.00
_space_group_name_H-M_alt 'I -4 2 d'
_space_group_IT_number 122
_space_group_name_Hall 'I -4 2bw'
loop_
_atom_site_label
_atom_site_type_symbol
_atom_site_fract_x
_atom_site_fract_y
_atom_site_fract_z
Zr1 Zr 0.000 0.000 0.000
In1 In 0.150 0.250 0.625
F1 F 0.000 0.000 0.500

=====

# Zr2InF | Alexandria via LeMat-Bulk | PBE-GGA | relaxed
# energy above the lowest structure with this stoichiometry = 95.2 meV per atom
data_Zr2InF
_chemical_formula_sum 'Zr8 In4 F4'
_cell_length_a 5.195
_cell_length_b 5.195
_cell_length_c 14.031
_cell_angle_alpha 90.00
_cell_angle_beta 90.00
_cell_angle_gamma 90.00
_space_group_name_H-M_alt 'I -4 2 d'
_space_group_IT_number 122
_space_group_name_Hall 'I -4 2bw'
loop_
_atom_site_label
_atom_site_type_symbol
_atom_site_fract_x
_atom_site_fract_y
_atom_site_fract_z
Zr1 Zr 0.090 0.250 0.125
In1 In 0.000 0.000 0.500
F1 F 0.000 0.000 0.000

=====

Computed, not measured: a geometry-optimized ZrInF5 structure at the PBE-GGA level of DFT.

```
data_ZrInF5
_chemical_formula_sum 'Zr4 In4 F20'
_cell_length_a 10.374
_cell_length_b 7.988
_cell_length_c 8.350
_cell_angle_alpha 90.00
_cell_angle_beta 115.86
_cell_angle_gamma 90.00
_space_group_name_H-M_alt 'C 1 2/c 1'
_space_group_IT_number 15
loop_
_space_group_symop_operation_xyz
'x,y,z'
'-x,-y,-z'
'-x,y,-z+1/2'
'x,-y,z+1/2'
'x+1/2,y+1/2,z'
'-x+1/2,-y+1/2,-z'
'-x+1/2,y+1/2,-z+1/2'
'x+1/2,-y+1/2,z+1/2'
loop_
_atom_site_label
_atom_site_type_symbol
_atom_site_fract_x
_atom_site_fract_y
_atom_site_fract_z
Zr1 Zr 0.000 0.000 0.000
In1 In 0.000 0.499 0.250
F1 F 0.000 0.049 0.750
F2 F 0.006 0.249 0.050
F3 F 0.215 0.008 0.615
```

=====

# ZrIn3F | Alexandria via LeMat-Bulk | PBE-GGA | relaxed
# energy above the lowest structure with this stoichiometry = 0.0 meV per atom
data_ZrIn3F
_chemical_formula_sum 'Zr1 In3 F1'
_cell_length_a 4.764
_cell_length_b 4.764
_cell_length_c 4.764
_cell_angle_alpha 90.00
_cell_angle_beta 90.00
_cell_angle_gamma 90.00
_space_group_name_H-M_alt 'P m -3 m'
_space_group_IT_number 221
_space_group_name_Hall '-P 4 2 3'
loop_
_atom_site_label
_atom_site_type_symbol
_atom_site_fract_x
_atom_site_fract_y
_atom_site_fract_z
Zr1 Zr 0.000 0.000 0.000
In1 In 0.000 0.500 0.500
F1 F 0.500 0.500 0.500

=====

Computed, not measured: a geometry-optimized ZrInF structure at the PBE-GGA level of DFT.

```
data_ZrInF
_chemical_formula_sum 'Zr4 In4 F4'
_cell_length_a 11.923
_cell_length_b 3.290
_cell_length_c 6.081
_cell_angle_alpha 90.00
_cell_angle_beta 108.44
_cell_angle_gamma 90.00
_space_group_name_H-M_alt 'C 1 2/m 1'
_space_group_IT_number 12
loop_
_space_group_symop_operation_xyz
'x,y,z'
'-x,-y,-z'
'-x,y,-z'
'x,-y,z'
'x+1/2,y+1/2,z'
'-x+1/2,-y+1/2,-z'
'-x+1/2,y+1/2,-z'
'x+1/2,-y+1/2,z'
loop_
_atom_site_label
_atom_site_type_symbol
_atom_site_fract_x
_atom_site_fract_y
_atom_site_fract_z
Zr1 Zr 0.184 0.000 0.198
In1 In 0.033 0.500 0.776
F1 F 0.201 0.000 0.585
```

=====

# ZrIn2F | Alexandria via LeMat-Bulk | PBE-GGA | relaxed
# energy above the lowest structure with this stoichiometry = 251.6 meV per atom
data_ZrIn2F
_chemical_formula_sum 'Zr4 In8 F4'
_cell_length_a 7.008
_cell_length_b 7.008
_cell_length_c 7.008
_cell_angle_alpha 90.00
_cell_angle_beta 90.00
_cell_angle_gamma 90.00
_space_group_name_H-M_alt 'F m -3 m'
_space_group_IT_number 225
_space_group_name_Hall '-F 4 2 3'
loop_
_atom_site_label
_atom_site_type_symbol
_atom_site_fract_x
_atom_site_fract_y
_atom_site_fract_z
Zr1 Zr 0.000 0.000 0.000
In1 In 0.250 0.250 0.250
F1 F 0.000 0.000 0.500

=====

# Zr2InF | Alexandria via LeMat-Bulk | PBE-GGA | relaxed
# energy above the lowest structure with this stoichiometry = 0.0 meV per atom
data_Zr2InF
_chemical_formula_sum 'Zr8 In4 F4'
_cell_length_a 6.828
_cell_length_b 6.828
_cell_length_c 6.828
_cell_angle_alpha 90.00
_cell_angle_beta 90.00
_cell_angle_gamma 90.00
_space_group_name_H-M_alt 'F m -3 m'
_space_group_IT_number 225
_space_group_name_Hall '-F 4 2 3'
loop_
_atom_site_label
_atom_site_type_symbol
_atom_site_fract_x
_atom_site_fract_y
_atom_site_fract_z
Zr1 Zr 0.250 0.250 0.250
In1 In 0.000 0.000 0.000
F1 F 0.000 0.000 0.500

=====

# ZrIn3F | Alexandria via LeMat-Bulk | PBE-GGA | relaxed
# energy above the lowest structure with this stoichiometry = 811.5 meV per atom
data_ZrIn3F
_chemical_formula_sum 'Zr1 In3 F1'
_cell_length_a 5.749
_cell_length_b 5.749
_cell_length_c 5.749
_cell_angle_alpha 90.00
_cell_angle_beta 90.00
_cell_angle_gamma 90.00
_space_group_name_H-M_alt 'P m -3 m'
_space_group_IT_number 221
_space_group_name_Hall '-P 4 2 3'
loop_
_atom_site_label
_atom_site_type_symbol
_atom_site_fract_x
_atom_site_fract_y
_atom_site_fract_z
Zr1 Zr 0.000 0.000 0.000
In1 In 0.000 0.000 0.500
F1 F 0.500 0.500 0.500

=====

Computed, not measured: a geometry-optimized ZrIn6F12 structure at the PBE-GGA level of DFT.

```
data_ZrIn6F12
_chemical_formula_sum 'Zr3 In18 F36'
_cell_length_a 11.7903
_cell_length_b 11.7903
_cell_length_c 9.7912
_cell_angle_alpha 90.00
_cell_angle_beta 90.00
_cell_angle_gamma 120.00
_space_group_name_H-M_alt 'R -3'
_space_group_IT_number 148
_space_group_name_Hall '-R 3'
loop_
_atom_site_label
_atom_site_type_symbol
_atom_site_fract_x
_atom_site_fract_y
_atom_site_fract_z
Zr1 Zr 0.0000 0.0000 0.0000
In1 In 0.0419 0.8111 0.6454
F1 F 0.0322 0.8572 0.3835
F2 F 0.0375 0.8809 0.8792
```

=====

Computed, not measured: a geometry-optimized Ir2F13 structure at the PBE-GGA level of DFT.

```
data_Ir2F13
_chemical_formula_sum 'Ir2 F13'
_cell_length_a 5.102
_cell_length_b 6.659
_cell_length_c 7.664
_cell_angle_alpha 65.13
_cell_angle_beta 81.10
_cell_angle_gamma 78.97
_space_group_name_H-M_alt 'P -1'
_space_group_IT_number 2
loop_
_space_group_symop_operation_xyz
'x,y,z'
'-x,-y,-z'
loop_
_atom_site_label
_atom_site_type_symbol
_atom_site_fract_x
_atom_site_fract_y
_atom_site_fract_z
Ir1 Ir 0.176 0.123 0.229
F1 F 0.000 0.000 0.500
F2 F 0.100 0.874 0.199
F3 F 0.157 0.715 0.862
F4 F 0.239 0.366 0.272
F5 F 0.341 0.233 0.980
F6 F 0.378 0.505 0.558
F7 F 0.497 0.040 0.673
```

=====

Number 1: ΔE_f (raw) -2824 meV per atom, total magnetic moment 0.000 μB per formula unit. Number 2: ΔE_f (raw) -575 meV per atom, total magnetic moment 0.000 μB per formula unit. Number 3: ΔE_f (raw) -441 meV per atom, total magnetic moment 0.000 μB per formula unit. Number 4: ΔE_f (raw) -3114 meV per atom, total magnetic moment 0.000 μB per formula unit. Number 5: ΔE_f (raw) -497 meV per atom, total magnetic moment 0.000 μB per formula unit. Number 6: ΔE_f (raw) -1380 meV per atom, total magnetic moment 0.000 μB per formula unit. Number 7: ΔE_f (raw) -324 meV per atom, total magnetic moment 0.000 μB per formula unit. Number 8: ΔE_f (raw) -536 meV per atom, total magnetic moment 0.000 μB per formula unit. Number 9: ΔE_f (raw) 315 meV per atom, total magnetic moment 3.404 μB per formula unit. Number 10: ΔE_f (raw) -2283 meV per atom, total magnetic moment 0.000 μB per formula unit. Number 11: ΔE_f (raw) -1225 meV per atom, total magnetic moment 5.001 μB per formula unit.